Tl3NiI2O8 PBE with a Hubbard U optimized geometry; E_tot = -4.17 eV per atom; crystal system = trigonal; N(E_F) = 3.64 states/eV/f.u.; space group = P-3m1, No. 164
1.0
6.130 0.000 0.000
-3.065 5.308 0.000
0.000 0.000 7.819
Tl Ni I O
3 1 2 8
Cartesian
0.000 3.539 6.109 Tl
3.065 1.769 1.710 Tl
0.000 0.000 0.000 Tl
0.000 0.000 3.910 Ni
0.000 3.539 2.564 I
3.065 1.769 5.255 I
0.000 3.539 0.726 O
3.065 1.769 7.094 O
-1.673 4.505 2.544 O
4.737 0.804 5.275 O
0.000 1.608 2.544 O
3.065 3.701 5.275 O
1.673 4.505 2.544 O
1.392 0.804 5.275 O